First-principles (PBE-GGA) data for a relaxed Y2MnSnAu crystal, as listed in the Alexandria database.

Lattice parameters (Å, degrees): 5.721 5.721 5.065 90.00 90.00 90.00
Positions (direct):
1 Y 0.000 0.500 0.000
2 Y 0.500 0.000 0.000
3 Mn 0.000 0.000 0.500
4 Sn 0.500 0.500 0.000
5 Au 0.500 0.500 0.500

Total magnetic moment (μB/atom): 0.86
DFT formation energy (kcal/mol of atoms): 13.3